[1]
Here is a relaxed structure of TcSO from Alexandria. Energies are from PBE.

Results
The value obtained for the mass density is 4.9 g/cm3. The calculation puts the formation energy from raw total energies at -0.77 eV per atom. The value obtained for the density of states at the Fermi level is 1.682 states/eV per cell. Its total energy is -43.51 eV per cell. As for the distance to the lowest polymorph of the same formula: 3.38 kcal/mol of atoms.

```
data_TcSO
_chemical_formula_sum 'Tc2 S2 O2'
_space_group_name_H-M_alt 'P 1 21/m 1'
_space_group_IT_number 11
_cell_length_a 5.498
_cell_length_b 2.860
_cell_length_c 6.754
_cell_angle_alpha 90.00
_cell_angle_beta 112.26
_cell_angle_gamma 90.00
loop_
_space_group_symop_operation_xyz
'x,y,z'
'-x,-y,-z'
'-x,y+1/2,-z'
'x,-y+1/2,z'
loop_
_atom_site_label
_atom_site_fract_x
_atom_site_fract_y
_atom_site_fract_z
Tc1 0.243 0.250 0.445
S1 0.389 0.750 0.238
O1 0.051 0.250 0.666
```

[2]
Here is a relaxed structure of LaMoRu2 from Alexandria. Energies are from PBE.

Results
The value obtained for the mass density is 10.3 g/cm3. The value obtained for the density of states at the Fermi level is 18.477 states/eV per cell. Its total energy is -97.56 eV per cell. The value obtained for the formation energy is 0.4475 eV per atom. As for the distance to the lowest polymorph of the same formula: 9.13 kcal/mol of atoms.

```
data_LaMoRu2
_chemical_formula_sum 'La3 Mo3 Ru6'
_space_group_name_H-M_alt 'R -3 m'
_space_group_IT_number 166
_space_group_name_Hall '-R 3 2"'
_cell_length_a 2.9292
_cell_length_b 2.9292
_cell_length_c 28.5431
_cell_angle_alpha 90.00
_cell_angle_beta 90.00
_cell_angle_gamma 120.00
loop_
_atom_site_label
_atom_site_fract_x
_atom_site_fract_y
_atom_site_fract_z
La1 0.0000 0.0000 0.0000
Mo1 0.0000 0.0000 0.5000
Ru1 0.0000 0.0000 0.2391
```